(a)
TiCd3Hg: optimized geometry, PBE.

a b c (Å): 5.5619 5.5619 5.5619
angles (deg): 90.00 90.00 90.00
Last column: nearest neighbours and their distance in Å.
Element x y z (fractional)
Cd: 0.5000 0.0000 0.0000  2 Ti 2.78
Cd: 0.0000 0.0000 0.5000  2 Ti 2.78
Cd: 0.0000 0.5000 0.0000  2 Ti 2.78
Ti: 0.0000 0.0000 0.0000  6 Cd 2.78
Hg: 0.5000 0.5000 0.5000  12 Cd 3.93

Output
Crystal system = cubic
ρ = 5.65 g cm⁻³

=====

(b)
TiCd3Hg: optimized geometry, PBE.

a b c (Å): 5.2908 5.2908 5.2908
angles (deg): 90.00 90.00 90.00
Last column: nearest neighbours and their distance in Å.
Element x y z (fractional)
Ti: 0.5000 0.5000 0.5000  12 Cd 3.74
Hg: 0.0000 0.0000 0.0000  6 Cd 2.65
Cd: 0.0000 0.0000 0.5000  2 Hg 2.65
Cd: 0.0000 0.5000 0.0000  2 Hg 2.65
Cd: 0.5000 0.0000 0.0000  2 Hg 2.65

Output
Crystal system = cubic
ρ = 6.57 g cm⁻³

=====

Energy above the most stable structure, in meV per atom: (a) 0; (b) 136

=====

(a)
Ti2CdHg: optimized geometry, PBE.

a b c (Å): 4.1693 4.2509 4.2509
angles (deg): 90.00 90.00 90.00
Last column: nearest neighbours and their distance in Å.
Element x y z (fractional)
Cd: 0.5000 0.0000 0.0000  8 Ti 2.98, 4 Hg 3.01
Hg: 0.5000 0.5000 0.5000  8 Ti 2.98, 4 Cd 3.01
Ti: 0.0000 0.5000 0.0000  4 Hg 2.98, 4 Cd 2.98, 4 Ti 3.01
Ti: 0.0000 0.0000 0.5000  4 Hg 2.98, 4 Cd 2.98, 4 Ti 3.01

Output
Crystal system = tetragonal
ρ = 9.01 g cm⁻³

=====

(b)
Ti2CdHg: optimized geometry, PBE.

a b c (Å): 4.6019 4.6019 7.6466
angles (deg): 72.49 72.49 60.00
Last column: nearest neighbours and their distance in Å.
Element x y z (fractional)
Ti: 0.8643 0.8643 0.4071  3 Hg 2.74, 1 Cd 2.92, 3 Ti 2.97
Hg: 0.5000 0.5000 0.5000  6 Ti 2.74
Cd: 0.0000 0.0000 0.0000  2 Ti 2.92
Ti: 0.1357 0.1357 0.5929  3 Hg 2.74, 1 Cd 2.92, 3 Ti 2.97

Output
Crystal system = trigonal
ρ = 5.16 g cm⁻³

=====

(c)
Ti2CdHg: optimized geometry, PBE.

a b c (Å): 5.2944 5.2944 10.2192
angles (deg): 76.77 76.77 33.97
Last column: nearest neighbours and their distance in Å.
Element x y z (fractional)
Hg: 0.1363 0.1363 0.8006  5 Ti 2.91-3.25, 5 Cd 3.01-3.20, 2 Hg 3.09
Ti: 0.8800 0.8800 0.6606  7 Ti 2.77-3.09, 2 Hg 2.97, 2 Cd 3.08
Ti: 0.3808 0.3808 0.4358  10 Ti 2.77-3.09, 2 Hg 2.91
Cd: 0.6202 0.6202 0.0784  5 Hg 3.01-3.20, 2 Ti 3.08, 5 Cd 3.09-3.22
Cd: 0.3798 0.3798 0.9216  5 Hg 3.01-3.20, 2 Ti 3.08, 5 Cd 3.09-3.22
Ti: 0.1200 0.1200 0.3394  7 Ti 2.77-3.09, 2 Hg 2.97, 2 Cd 3.08
Ti: 0.6192 0.6192 0.5642  10 Ti 2.77-3.09, 2 Hg 2.91
Hg: 0.8637 0.8637 0.1994  5 Ti 2.91-3.25, 5 Cd 3.01-3.20, 2 Hg 3.09

Output
Crystal system = monoclinic
ρ = 8.74 g cm⁻³

=====

(d)
Ti2CdHg: optimized geometry, PBE.

a b c (Å): 4.7815 4.7815 4.7810
angles (deg): 60.00 60.00 60.00
Last column: nearest neighbours and their distance in Å.
Element x y z (fractional)
Cd: 0.5000 0.5000 0.4999  4 Hg 2.93, 4 Ti 2.93
Ti: 0.2500 0.2500 0.2499  4 Cd 2.93, 4 Ti 2.93
Ti: 0.0000 0.0000 0.0001  4 Hg 2.93, 4 Ti 2.93
Hg: 0.7500 0.7500 0.7501  4 Cd 2.93, 4 Ti 2.93

Output
Crystal system = cubic
ρ = 8.78 g cm⁻³

=====

Energy above the most stable structure, in meV per atom: (a) 0; (b) 813; (c) 16; (d) 153

=====

(a)
Tl8CdHg6: optimized geometry, PBE.

a b c (Å): 8.0132 8.0132 8.0132
angles (deg): 72.11 72.11 72.11
Last column: nearest neighbours and their distance in Å.
Element x y z (fractional)
Tl: 0.3700 0.1121 0.8554  4 Hg 3.09-3.41, 1 Cd 3.13, 1 Tl 3.32
Tl: 0.2522 0.2522 0.2522  6 Hg 3.26-3.63, 6 Tl 3.46-3.60
Hg: 0.5840 0.3950 0.8474  5 Tl 3.09-3.41, 1 Hg 3.12
Hg: 0.1526 0.4160 0.6050  5 Tl 3.09-3.41, 1 Hg 3.12
Hg: 0.6050 0.1526 0.4160  5 Tl 3.09-3.41, 1 Hg 3.12
Tl: 0.6300 0.8879 0.1446  4 Hg 3.09-3.41, 1 Cd 3.13, 1 Tl 3.32
Cd: 0.0000 0.0000 0.0000  6 Tl 3.13
Hg: 0.3950 0.8474 0.5840  5 Tl 3.09-3.41, 1 Hg 3.12
Tl: 0.1446 0.6300 0.8879  4 Hg 3.09-3.41, 1 Cd 3.13, 1 Tl 3.32
Hg: 0.8474 0.5840 0.3950  5 Tl 3.09-3.41, 1 Hg 3.12
Tl: 0.8879 0.1446 0.6300  4 Hg 3.09-3.41, 1 Cd 3.13, 1 Tl 3.32
Hg: 0.4160 0.6050 0.1526  5 Tl 3.09-3.41, 1 Hg 3.12
Tl: 0.8554 0.3700 0.1121  4 Hg 3.09-3.41, 1 Cd 3.13, 1 Tl 3.32
Tl: 0.7478 0.7478 0.7478  6 Hg 3.26-3.63, 6 Tl 3.46-3.60
Tl: 0.1121 0.8554 0.3700  4 Hg 3.09-3.41, 1 Cd 3.13, 1 Tl 3.32

Output
Crystal system = trigonal
ρ = 10.82 g cm⁻³

=====

(b)
Tl8CdHg6: optimized geometry, PBE.

a b c (Å): 8.8371 8.8371 8.5759
angles (deg): 58.99 58.99 60.00
Last column: nearest neighbours and their distance in Å.
Element x y z (fractional)
Hg: 0.0694 0.7388 0.8230  1 Cd 3.04, 6 Tl 3.17-3.29
Tl: 0.8911 0.5282 0.3511  4 Hg 3.17-3.25
Tl: 0.1089 0.4718 0.6489  4 Hg 3.17-3.25
Tl: 0.4718 0.7704 0.6489  4 Hg 3.17-3.25
Hg: 0.6312 0.9306 0.1770  1 Cd 3.04, 6 Tl 3.17-3.29
Hg: 0.2612 0.6312 0.1770  1 Cd 3.04, 6 Tl 3.17-3.29
Tl: 0.5282 0.2296 0.3511  4 Hg 3.17-3.25
Tl: 0.7704 0.1089 0.6489  4 Hg 3.17-3.25
Hg: 0.3688 0.0694 0.8230  1 Cd 3.04, 6 Tl 3.17-3.29
Tl: 0.2296 0.8911 0.3511  4 Hg 3.17-3.25
Hg: 0.7388 0.3688 0.8230  1 Cd 3.04, 6 Tl 3.17-3.29
Tl: 0.6719 0.6719 0.9843  6 Hg 3.25-3.29
Cd: 0.0000 0.0000 0.0000  6 Hg 3.04
Hg: 0.9306 0.2612 0.1770  1 Cd 3.04, 6 Tl 3.17-3.29
Tl: 0.3281 0.3281 0.0157  6 Hg 3.25-3.29

Output
Crystal system = trigonal
ρ = 10.51 g cm⁻³

=====

Energy above the most stable structure, in meV per atom: (a) 20; (b) 0

=====

(a)
TlCd2Hg: optimized geometry, PBE.

a b c (Å): 8.4307 8.4307 6.7336
angles (deg): 51.24 51.24 90.00
Last column: nearest neighbours and their distance in Å.
Element x y z (fractional)
Cd: 0.6097 0.1250 0.2500  2 Hg 3.00, 2 Cd 3.14, 2 Tl 3.17
Hg: 0.2500 0.7500 0.5000  4 Cd 3.00, 2 Tl 3.13
Cd: 0.1403 0.6250 0.2500  2 Hg 3.00, 2 Cd 3.14, 2 Tl 3.17
Tl: 0.0000 0.0000 0.0000  2 Hg 3.13, 4 Cd 3.17
Tl: 0.7500 0.2500 0.5000  2 Hg 3.13, 4 Cd 3.17
Hg: 0.5000 0.5000 0.0000  4 Cd 3.00, 2 Tl 3.13
Cd: 0.8750 0.8597 0.7500  2 Hg 3.00, 2 Cd 3.14, 2 Tl 3.17
Cd: 0.3750 0.3903 0.7500  2 Hg 3.00, 2 Cd 3.14, 2 Tl 3.17

Output
Crystal system = tetragonal
ρ = 9.40 g cm⁻³

=====

(b)
TlCd2Hg: optimized geometry, PBE.

a b c (Å): 9.7217 9.7217 9.7217
angles (deg): 21.09 21.09 21.09
Last column: nearest neighbours and their distance in Å.
Element x y z (fractional)
Hg: 0.2500 0.2500 0.2500  6 Cd 3.03
Cd: 0.5052 0.5052 0.5052  3 Hg 3.03, 3 Tl 3.25
Tl: 0.7500 0.7500 0.7500  6 Cd 3.25, 6 Tl 3.56
Cd: 0.9948 0.9948 0.9948  3 Hg 3.03, 3 Tl 3.25

Output
Crystal system = trigonal
ρ = 10.04 g cm⁻³

=====

Energy above the most stable structure, in meV per atom: (a) 39; (b) 0